Entry 1:
Sr2Li4Mg3 after structural relaxation, computed with GGA-PBE.

Computed properties:
- DFT formation energy (meV/atom) = -27

```
Sr2Li4Mg3
1.0
0.000 5.493 7.818
3.009 0.000 7.818
3.009 5.493 0.000
Sr Li Mg
2 4 3
Direct
0.136 0.136 0.864
0.864 0.864 0.136
0.155 0.508 0.492
0.492 0.845 0.155
0.508 0.155 0.845
0.845 0.492 0.508
0.000 0.000 0.500
0.500 0.500 0.000
0.500 0.500 0.500
```


Entry 2:
Mn6Mo after structural relaxation, computed with GGA-PBE.

Computed properties:
- DFT formation energy (meV/atom) = 90
- excess energy over the best structure of this formula in the dataset (eV per atom) = 0.0000

```
Mn6Mo
1.0
7.605 0.000 0.000
0.000 4.555 0.000
0.000 0.000 9.611
Mn Mo
24 4
Direct
0.051 0.250 0.075
0.074 0.512 0.307
0.074 0.988 0.307
0.094 0.750 0.523
0.135 0.250 0.849
0.189 0.750 0.755
0.311 0.250 0.255
0.365 0.750 0.349
0.406 0.250 0.023
0.426 0.012 0.807
0.426 0.488 0.807
0.449 0.750 0.575
0.551 0.250 0.425
0.574 0.512 0.193
0.574 0.988 0.193
0.594 0.750 0.977
0.635 0.250 0.651
0.689 0.750 0.745
0.811 0.250 0.245
0.865 0.750 0.151
0.906 0.250 0.477
0.926 0.012 0.693
0.926 0.488 0.693
0.949 0.750 0.925
0.244 0.750 0.063
0.256 0.250 0.563
0.744 0.750 0.437
0.756 0.250 0.937
```


Please write out number 1 again, unchanged.
Sr2Li4Mg3 after structural relaxation, computed with GGA-PBE.

Computed properties:
- DFT formation energy (meV/atom) = -27

```
Sr2Li4Mg3
1.0
0.000 5.493 7.818
3.009 0.000 7.818
3.009 5.493 0.000
Sr Li Mg
2 4 3
Direct
0.136 0.136 0.864
0.864 0.864 0.136
0.155 0.508 0.492
0.492 0.845 0.155
0.508 0.155 0.845
0.845 0.492 0.508
0.000 0.000 0.500
0.500 0.500 0.000
0.500 0.500 0.500
```


What is the formula in the first record? Sr2Li4Mg3


The highest DFT formation energy belongs to which entry? Mn6Mo